# 1
Below is a geometry-optimized CoP2Cl structure, with properties calculated at the PBE-GGA level.

The calculation puts the uncorrected formation energy at 130 meV/atom. Its magnetization is 0.0 μB per cell.

It has space group P4/mmm (No. 123), with a = 2.8487 Å, b = 2.8487 Å, c = 8.2691 Å, α = 90.00°, β = 90.00° and γ = 90.00°. The inequivalent atoms are Co at (0.0000, 0.0000, 0.0000), P at (0.5000, 0.5000, 0.1525) and Cl at (0.0000, 0.0000, 0.5000).

***

# 2
Below is a geometry-optimized CoPCl2 structure, with properties calculated at the PBE-GGA level.

The calculation puts the uncorrected formation energy at 424 meV/atom. Its magnetization is 3.4 μB per cell.

It has space group P4/mmm (No. 123), with a = 2.9188 Å, b = 2.9188 Å, c = 11.2376 Å, α = 90.00°, β = 90.00° and γ = 90.00°. The inequivalent atoms are Co at (0.0000, 0.0000, 0.0000), P at (0.0000, 0.0000, 0.5000) and Cl at (0.5000, 0.5000, 0.1341).

***

# 3
Below is a geometry-optimized CoPCl structure, with properties calculated at the PBE-GGA level.

The calculation puts the uncorrected formation energy at 142 meV/atom. Its magnetization is 1.6 μB per cell.

It has space group I4mm (No. 107), with a = 2.8195 Å, b = 2.8195 Å, c = 13.7579 Å, α = 90.00°, β = 90.00° and γ = 90.00°. The inequivalent atoms are Co at (0.0000, 0.0000, 0.0000), P at (0.0000, 0.0000, 0.4041) and Cl at (0.0000, 0.0000, 0.6198).